Here is a geometry-optimized SrTaBe2 structure from Alexandria via LeMat-Bulk. Energies are from PBE.

abc: 4.715 4.715 4.715
angles: 60.00 60.00 60.00
Site moments in Bohr magnetons follow the coordinates.
Positions (direct):
Sr 0.500 0.500 0.500  0.16
Be 0.250 0.250 0.250  -0.02
Be 0.000 0.000 0.000  0.00
Ta 0.750 0.750 0.750  1.59

Results
Crystal system = cubic
E_form = 1.349 eV per atom
SG = F-43m, No. 216